An optimized crystal structure of Zn2InAs. Source: Alexandria, functional PBE.

DOS at the Fermi energy   1.51 states/eV/cell
ΔH_f (0 K)   155 meV per atom
Space-group type   Pmmm (47)
Crystal system   orthorhombic
Volume   20.0 Å³ per atom

Lattice parameters (Å, degrees): 3.9481 3.9553 5.1171 90.00 90.00 90.00
With the nearest neighbours (Å) after each atom.
Sites, in units of the cell vectors:
Zn  0.0000  0.0000  0.0000  4 As 2.79
Zn  0.0000  0.5000  0.5000  4 In 2.79
In  0.5000  0.0000  0.5000  4 Zn 2.79
As  0.5000  0.5000  0.0000  4 Zn 2.79